# PBE NbInN, relaxed
data_NbInN
_space_group_name_H-M_alt 'I 4 m m'
_space_group_IT_number 107
_space_group_name_Hall 'I 4 -2'
_cell_length_a 3.013
_cell_length_b 3.013
_cell_length_c 11.068
_cell_angle_alpha 90.00
_cell_angle_beta 90.00
_cell_angle_gamma 90.00
loop_
_atom_site_label
_atom_site_fract_x
_atom_site_fract_y
_atom_site_fract_z
Nb1 0.000 0.000 0.000
In1 0.000 0.000 0.720
N1 0.000 0.000 0.474
# E   -7.382 eV/atom
# Formation energy from raw total energies   -338 meV per atom
# Energy relative to the lowest polymorph listed for this composition   175 meV per atom
# M_tot   0.000 μB/atom

# PBE MnFeSi2, relaxed
data_MnFeSi2
_space_group_name_H-M_alt 'P 1 2/c 1'
_space_group_IT_number 13
_cell_length_a 4.407
_cell_length_b 4.851
_cell_length_c 9.434
_cell_angle_alpha 90.00
_cell_angle_beta 116.49
_cell_angle_gamma 90.00
loop_
_space_group_symop_operation_xyz
'x,y,z'
'-x,-y,-z'
'-x,y,-z+1/2'
'x,-y,z+1/2'
loop_
_atom_site_label
_atom_site_fract_x
_atom_site_fract_y
_atom_site_fract_z
Mn1 0.184 0.147 0.128
Fe1 0.309 0.153 0.875
Si1 0.177 0.356 0.626
Si2 0.331 0.352 0.379
# E   -7.399 eV/atom
# Formation energy from raw total energies   -280 meV per atom
# M_tot   0.125 μB/atom

# PBE LiLaTiTc2, relaxed
data_LiLaTiTc2
_space_group_name_H-M_alt 'P 4/m m m'
_space_group_IT_number 123
_space_group_name_Hall '-P 4 2'
_cell_length_a 4.625
_cell_length_b 4.625
_cell_length_c 4.881
_cell_angle_alpha 90.00
_cell_angle_beta 90.00
_cell_angle_gamma 90.00
loop_
_atom_site_label
_atom_site_fract_x
_atom_site_fract_y
_atom_site_fract_z
Li1 0.000 0.000 0.000
La1 0.500 0.500 0.000
Ti1 0.000 0.000 0.500
Tc1 0.000 0.500 0.500
# E   -6.559 eV/atom
# DFT formation energy   0.535 eV/atom
# M_tot   0.000 μB/atom